# Sr2NpAuS5 | Alexandria | GGA-PBE | relaxed
# Volume (Å³/cell): 438.36
# Magnetic moment (Bohr magnetons per cell): 4.2
# Total energy (eV per atom): -5.8322
data_Sr2NpAuS5
_cell_length_a 4.0368
_cell_length_b 8.9888
_cell_length_c 12.3974
_cell_angle_alpha 90.00
_cell_angle_beta 90.00
_cell_angle_gamma 102.98
_space_group_name_H-M_alt 'P 1'
_space_group_IT_number 1
loop_
_space_group_symop_operation_xyz
'x,y,z'
loop_
_atom_site_label
_atom_site_type_symbol
_atom_site_fract_x
_atom_site_fract_y
_atom_site_fract_z
_atom_site_occupancy
Sr1 Sr 0.8808 0.7616 0.8205 1
Sr2 Sr 0.1088 0.2176 0.6877 1
Np1 Np 0.7944 0.5887 0.5187 1
Au1 Au 0.5573 0.1145 0.9371 1
S1 S 0.6457 0.2915 0.5082 1
S2 S 0.5033 0.0065 0.2625 1
S3 S 0.3543 0.7085 0.0082 1
S4 S 0.2957 0.5913 0.3746 1
Sr3 Sr 0.1192 0.2384 0.3205 1
S5 S 0.4967 0.9935 0.7625 1
S6 S 0.2878 0.5756 0.6616 1
S7 S 0.7043 0.4087 0.8746 1
S8 S 0.9385 0.8770 0.5531 1
Au2 Au 0.4427 0.8855 0.4371 1
S9 S 0.7122 0.4244 0.1616 1
Np2 Np 0.2056 0.4113 0.0187 1
Sr4 Sr 0.8912 0.7824 0.1877 1
S10 S 0.0615 0.1230 0.0531 1